Below is a relaxed CsTeSe4 crystal, with properties calculated at the GGA-PBE level.

```
CsTeSe4
1.0
3.851 -3.771 0.000
3.851 3.771 0.000
-0.146 0.000 7.808
Cs Te Se
1 1 4
Cartesian
0.000 0.000 0.000
3.778 0.000 3.904
1.011 0.000 3.422
3.385 0.000 1.124
4.171 0.000 6.684
6.545 0.000 4.386
```

Computed properties:
Calculated density: 4.22 Mg/m³
Fermi-level density of states: 0.982 states/eV per atom
Total energy: -3.14 eV per atom
ΔE_f (raw): -0.150 eV per atom